[1]
Al2Zn2Ag: optimized geometry, PBE-GGA.

Lattice parameters (Å, degrees): 6.625 6.625 6.625 146.34 146.34 48.34
Fractional coordinates of all 5 atoms:
Zn (0.600, 0.600, 0.000)
Zn (0.400, 0.400, 0.000)
Ag (0.000, 0.000, 0.000)
Al (0.250, 0.750, 0.500)
Al (0.750, 0.250, 0.500)

Summary:
* crystal system: tetragonal
* E: -2.4163 eV per atom

***

[2]
BeBW: optimized geometry, PBE-GGA.

Lattice parameters (Å, degrees): 3.713 3.713 3.713 60.00 60.00 60.00
Fractional coordinates of all 3 atoms:
W (0.000, 0.000, 0.000)
Be (0.750, 0.750, 0.750)
B (0.250, 0.250, 0.250)

Summary:
* crystal system: cubic
* E: -6.7803 eV per atom